(1)
The following is a DFT calculation (PBE) of crystalline PmPr2AgTe5 at its relaxed geometry.

Cell lengths 9.8233, 9.8233, 13.4129 Å; angles 90.00, 90.00, 153.89 degrees
Last column: nearest neighbours and their distance in Å.
Positions (direct):
1 Pm 0.1930 0.8070 0.5000  6 Te 3.03-3.18, 2 Ag 3.34
2 Pm 0.8070 0.1930 0.0000  6 Te 3.03-3.18, 2 Ag 3.34
3 Pr 0.1109 0.8891 0.1776  8 Te 3.27-3.40
4 Pr 0.1247 0.8753 0.7976  8 Te 3.26-3.55
5 Pr 0.8753 0.1247 0.2976  8 Te 3.26-3.55
6 Pr 0.8891 0.1109 0.6776  8 Te 3.27-3.40
7 Ag 0.4328 0.5672 0.9519  4 Te 2.75-2.89
8 Ag 0.5672 0.4328 0.4519  4 Te 2.75-2.89
9 Te 0.0418 0.9582 0.5681  2 Ag 2.75, 1 Pm 3.03
10 Te 0.2870 0.7130 0.1633  2 Pm 3.14, 3 Pr 3.32-3.38
11 Te 0.3086 0.6914 0.8301  1 Ag 2.89, 2 Pm 3.18
12 Te 0.3592 0.6408 0.4908  1 Pm 3.18, 4 Pr 3.40-3.43
13 Te 0.4987 0.5013 0.2702  1 Ag 2.77
14 Te 0.5013 0.4987 0.7702  1 Ag 2.77
15 Te 0.6408 0.3592 0.9908  1 Pm 3.18, 4 Pr 3.40-3.43
16 Te 0.6914 0.3086 0.3301  1 Ag 2.89, 2 Pm 3.18
17 Te 0.7130 0.2870 0.6633  2 Pm 3.14, 3 Pr 3.32-3.38
18 Te 0.9582 0.0418 0.0681  2 Ag 2.75, 1 Pm 3.03

Results
space-group type = Cmc2_1, No. 36
energy = -87.4 eV/cell
ΔE_f (raw) = -1.202 eV/atom

***

(2)
The following is a DFT calculation (PBE) of crystalline Pm2PrAgTe5 at its relaxed geometry.

Cell lengths 9.7879, 9.7879, 13.4065 Å; angles 90.00, 90.00, 153.93 degrees
Last column: nearest neighbours and their distance in Å.
Positions (direct):
1 Pm 0.1108 0.8892 0.5000  8 Te 3.22-3.38
2 Pm 0.1240 0.8760 0.1200  8 Te 3.23-3.59
3 Pm 0.8760 0.1240 0.6200  8 Te 3.23-3.59
4 Pm 0.8892 0.1108 0.0000  8 Te 3.22-3.38
5 Pr 0.1935 0.8065 0.8229  6 Te 3.07-3.21, 2 Ag 3.34
6 Pr 0.8065 0.1935 0.3229  6 Te 3.07-3.21, 2 Ag 3.34
7 Ag 0.4340 0.5660 0.2761  4 Te 2.75-2.89
8 Ag 0.5660 0.4340 0.7761  4 Te 2.75-2.89
9 Te 0.0405 0.9595 0.8935  2 Ag 2.75, 1 Pr 3.07
10 Te 0.2876 0.7124 0.4904  2 Pr 3.17, 3 Pm 3.28-3.38
11 Te 0.3108 0.6892 0.1501  1 Ag 2.89, 2 Pr 3.20
12 Te 0.3616 0.6384 0.8141  1 Pr 3.21, 4 Pm 3.37-3.42
13 Te 0.4985 0.5015 0.5938  1 Ag 2.76
14 Te 0.5015 0.4985 0.0938  1 Ag 2.76
15 Te 0.6384 0.3616 0.3141  1 Pr 3.21, 4 Pm 3.37-3.42
16 Te 0.6892 0.3108 0.6501  1 Ag 2.89, 2 Pr 3.20
17 Te 0.7124 0.2876 0.9904  2 Pr 3.17, 3 Pm 3.28-3.38
18 Te 0.9595 0.0405 0.3935  2 Ag 2.75, 1 Pr 3.07

Results
space-group type = Cmc2_1, No. 36
energy = -86.7 eV/cell
ΔE_f (raw) = -1.166 eV/atom

***

(3)
The following is a DFT calculation (PBE) of crystalline PmPrThAg at its relaxed geometry.

Cell lengths 5.4971, 5.4971, 5.4971 Å; angles 60.00, 60.00, 60.00 degrees
Last column: nearest neighbours and their distance in Å.
Positions (direct):
1 Pm 0.0000 0.0000 0.0000  4 Pr 3.37, 4 Th 3.37
2 Pr 0.7500 0.7500 0.7500  4 Ag 3.37, 4 Pm 3.37
3 Th 0.2500 0.2500 0.2500  4 Ag 3.37, 4 Pm 3.37
4 Ag 0.5000 0.5000 0.5000  4 Pr 3.37, 4 Th 3.37

Results
space-group type = F-43m, No. 216
energy = -19.2 eV/cell

***

(4)
The following is a DFT calculation (PBE) of crystalline PmPrTlAg at its relaxed geometry.

Cell lengths 3.7575, 3.7575, 7.9942 Å; angles 90.00, 90.00, 90.00 degrees
Last column: nearest neighbours and their distance in Å.
Positions (direct):
1 Pm 0.0000 0.0000 0.0000  4 Ag 3.21, 4 Tl 3.37
2 Pr 0.0000 0.0000 0.5277  4 Ag 3.31, 4 Tl 3.42
3 Tl 0.5000 0.5000 0.2593  4 Pm 3.37, 4 Pr 3.42, 4 Tl 3.76
4 Ag 0.5000 0.5000 0.7739  4 Pm 3.21, 4 Pr 3.31

Results
space-group type = P4mm, No. 99
energy = -16.0 eV/cell

***

(5)
The following is a DFT calculation (PBE) of crystalline PmPr2Tl2Ag2 at its relaxed geometry.

Cell lengths 9.6646, 9.6646, 9.6646 Å; angles 29.76, 29.76, 29.76 degrees
Last column: nearest neighbours and their distance in Å.
Positions (direct):
1 Pm 0.0000 0.0000 0.0000  6 Ag 3.32, 2 Pr 3.46, 6 Tl 3.47
2 Pr 0.1248 0.1248 0.1248  3 Tl 3.24, 3 Ag 3.37, 1 Pm 3.46
3 Pr 0.8752 0.8752 0.8752  3 Tl 3.24, 3 Ag 3.37, 1 Pm 3.46
4 Tl 0.2629 0.2629 0.2629  3 Ag 2.88
5 Tl 0.7371 0.7371 0.7371  3 Ag 2.88
6 Ag 0.3940 0.3940 0.3940  3 Tl 2.88
7 Ag 0.6060 0.6060 0.6060  3 Tl 2.88

Results
space-group type = R-3m, No. 166
energy = -26.2 eV/cell

***

(6)
The following is a DFT calculation (PBE) of crystalline Pm2PrTl2Ag2 at its relaxed geometry.

Cell lengths 9.5941, 9.5941, 9.5941 Å; angles 30.00, 30.00, 30.00 degrees
Last column: nearest neighbours and their distance in Å.
Positions (direct):
1 Pm 0.1254 0.1254 0.1254  3 Tl 3.20, 3 Ag 3.29, 1 Pr 3.44
2 Pm 0.8746 0.8746 0.8746  3 Tl 3.20, 3 Ag 3.29, 1 Pr 3.44
3 Pr 0.0000 0.0000 0.0000  6 Ag 3.41, 2 Pm 3.44, 6 Tl 3.51
4 Tl 0.2598 0.2598 0.2598  3 Ag 2.87, 3 Pm 3.20
5 Tl 0.7402 0.7402 0.7402  3 Ag 2.87, 3 Pm 3.20
6 Ag 0.4002 0.4002 0.4002  3 Tl 2.87
7 Ag 0.5998 0.5998 0.5998  3 Tl 2.87

Results
space-group type = R-3m, No. 166
energy = -26.2 eV/cell

***

(7)
The following is a DFT calculation (PBE) of crystalline PmPrTlAg at its relaxed geometry.

Cell lengths 5.4328, 5.4328, 5.4328 Å; angles 60.00, 60.00, 60.00 degrees
Last column: nearest neighbours and their distance in Å.
Positions (direct):
1 Pm 0.0000 0.0000 0.0000  4 Tl 3.33, 4 Ag 3.33
2 Pr 0.5000 0.5000 0.5000  4 Tl 3.33, 4 Ag 3.33
3 Tl 0.2500 0.2500 0.2500  4 Pr 3.33, 4 Pm 3.33
4 Ag 0.7500 0.7500 0.7500  4 Pr 3.33, 4 Pm 3.33

Results
space-group type = F-43m, No. 216
energy = -16.0 eV/cell

***

(8)
The following is a DFT calculation (PBE) of crystalline PmPrYAg at its relaxed geometry.

Cell lengths 5.5020, 5.5020, 5.5020 Å; angles 60.00, 60.00, 60.00 degrees
Last column: nearest neighbours and their distance in Å.
Positions (direct):
1 Pm 0.0000 0.0000 0.0000  4 Pr 3.37, 4 Y 3.37
2 Pr 0.7500 0.7500 0.7500  4 Pm 3.37, 4 Ag 3.37
3 Y 0.2500 0.2500 0.2500  4 Pm 3.37, 4 Ag 3.37
4 Ag 0.5000 0.5000 0.5000  4 Pr 3.37, 4 Y 3.37

Results
space-group type = F-43m, No. 216
energy = -18.4 eV/cell
E above lowest polymorph = 225 meV per atom

***

(9)
The following is a DFT calculation (PBE) of crystalline PmPrYAg at its relaxed geometry.

Cell lengths 3.6851, 3.6851, 8.8536 Å; angles 90.00, 90.00, 90.00 degrees
Last column: nearest neighbours and their distance in Å.
Positions (direct):
1 Pm 0.0000 0.0000 0.0000  4 Ag 3.25
2 Pr 0.5000 0.5000 0.2933  4 Y 3.67, 4 Pm 3.68, 4 Pr 3.69
3 Y 0.0000 0.0000 0.5844  4 Ag 3.13
4 Ag 0.5000 0.5000 0.7810  4 Y 3.13, 4 Pm 3.25

Results
space-group type = P4mm, No. 99
energy = -19.4 eV/cell
E above lowest polymorph = 0 meV per atom

***

(10)
The following is a DFT calculation (PBE) of crystalline PmPrZnAg at its relaxed geometry.

Cell lengths 3.7478, 3.7478, 7.3286 Å; angles 90.00, 90.00, 90.00 degrees
Last column: nearest neighbours and their distance in Å.
Positions (direct):
1 Pm 0.0000 0.0000 0.0000  4 Zn 3.16, 4 Ag 3.22
2 Pr 0.0000 0.0000 0.4840  4 Zn 3.21, 4 Ag 3.29, 1 Pm 3.55
3 Zn 0.5000 0.5000 0.2359  4 Pm 3.16, 4 Pr 3.21
4 Ag 0.5000 0.5000 0.7507  4 Pm 3.22, 4 Pr 3.29, 1 Zn 3.56

Results
space-group type = P4mm, No. 99
energy = -14.8 eV/cell
E above lowest polymorph = 0 meV per atom

***

(11)
The following is a DFT calculation (PBE) of crystalline PmPrZnAg at its relaxed geometry.

Cell lengths 5.2732, 5.2732, 5.2732 Å; angles 60.00, 60.00, 60.00 degrees
Last column: nearest neighbours and their distance in Å.
Positions (direct):
1 Pm 0.0000 0.0000 0.0000  4 Zn 3.23, 4 Ag 3.23
2 Pr 0.5000 0.5000 0.5000  4 Zn 3.23, 4 Ag 3.23
3 Zn 0.7500 0.7500 0.7500  4 Pr 3.23, 4 Pm 3.23
4 Ag 0.2500 0.2500 0.2500  4 Pr 3.23, 4 Pm 3.23

Results
space-group type = F-43m, No. 216
energy = -14.7 eV/cell
E above lowest polymorph = 19 meV per atom

***

(12)
The following is a DFT calculation (PBE) of crystalline Pm4AgPt3 at its relaxed geometry.

Cell lengths 5.9485, 5.9485, 5.9485 Å; angles 90.00, 90.00, 90.00 degrees
Last column: nearest neighbours and their distance in Å.
Positions (direct):
1 Pm 0.0000 0.0000 0.0000  6 Pt 2.97
2 Pm 0.0000 0.5000 0.5000  4 Pt 2.97, 2 Ag 2.97
3 Pm 0.5000 0.0000 0.5000  4 Pt 2.97, 2 Ag 2.97
4 Pm 0.5000 0.5000 0.0000  4 Pt 2.97, 2 Ag 2.97
5 Ag 0.5000 0.5000 0.5000  6 Pm 2.97
6 Pt 0.0000 0.0000 0.5000  6 Pm 2.97
7 Pt 0.0000 0.5000 0.0000  6 Pm 2.97
8 Pt 0.5000 0.0000 0.0000  6 Pm 2.97

Results
space-group type = Pm-3m, No. 221
energy = -46.5 eV/cell
E above lowest polymorph = 140 meV per atom